[1]
A relaxed CsCd12Au6 crystal. Source: the Alexandria database, functional GGA-PBE.

Computed properties:
The total moment is 0.000 μB per formula unit.

CIF file:
```
data_CsCd12Au6
_cell_length_a 12.7074
_cell_length_b 12.7074
_cell_length_c 9.9132
_cell_angle_alpha 90.00
_cell_angle_beta 90.00
_cell_angle_gamma 120.00
_space_group_name_H-M_alt 'R -3 m'
_space_group_IT_number 166
_space_group_name_Hall '-R 3 2"'
loop_
_atom_site_label
_atom_site_type_symbol
_atom_site_fract_x
_atom_site_fract_y
_atom_site_fract_z
Cs1 Cs 0.0000 0.0000 0.0000
Cd1 Cd 0.0000 0.3836 0.5000
Cd2 Cd 0.0885 0.1771 0.3263
Au1 Au 0.0472 0.5236 0.2575
```

[2]
A relaxed Cs2Cd5Au3 crystal. Source: the Alexandria database, functional GGA-PBE.

Computed properties:
The total moment is 0.000 μB per formula unit.

CIF file:
```
data_Cs2Cd5Au3
_cell_length_a 16.168
_cell_length_b 11.666
_cell_length_c 7.081
_cell_angle_alpha 90.00
_cell_angle_beta 115.81
_cell_angle_gamma 90.00
_space_group_name_H-M_alt 'C 1 2/c 1'
_space_group_IT_number 15
_space_group_name_Hall '-C 2yc'
loop_
_atom_site_label
_atom_site_type_symbol
_atom_site_fract_x
_atom_site_fract_y
_atom_site_fract_z
Cs1 Cs 0.124 0.235 0.124
Cd1 Cd 0.000 0.500 0.250
Cd2 Cd 0.127 0.114 0.626
Cd3 Cd 0.226 0.499 0.476
Au1 Au 0.000 0.001 0.750
Au2 Au 0.116 0.360 0.617
```

[3]
A relaxed CsCdAu4 crystal. Source: the Alexandria database, functional GGA-PBE.

Computed properties:
The total moment is 0.000 μB per formula unit.

CIF file:
```
data_CsCdAu4
_cell_length_a 8.274
_cell_length_b 8.274
_cell_length_c 8.274
_cell_angle_alpha 90.00
_cell_angle_beta 90.00
_cell_angle_gamma 90.00
_space_group_name_H-M_alt 'F -4 3 m'
_space_group_IT_number 216
_space_group_name_Hall 'F -4 2 3'
loop_
_atom_site_label
_atom_site_type_symbol
_atom_site_fract_x
_atom_site_fract_y
_atom_site_fract_z
Cs1 Cs 0.000 0.000 0.000
Cd1 Cd 0.250 0.250 0.750
Au1 Au 0.124 0.124 0.376
```

[4]
A relaxed Cs2Cd12Au7 crystal. Source: the Alexandria database, functional GGA-PBE.

Computed properties:
The total moment is 0.000 μB per formula unit.

CIF file:
```
data_Cs2Cd12Au7
_cell_length_a 11.3924
_cell_length_b 11.3924
_cell_length_c 4.6098
_cell_angle_alpha 90.00
_cell_angle_beta 90.00
_cell_angle_gamma 120.00
_space_group_name_H-M_alt 'P -6'
_space_group_IT_number 174
_space_group_name_Hall 'P -6'
loop_
_atom_site_label
_atom_site_type_symbol
_atom_site_fract_x
_atom_site_fract_y
_atom_site_fract_z
Cs1 Cs 0.0000 0.0000 0.0000
Cs2 Cs 0.3333 0.6667 0.5000
Cd1 Cd 0.0299 0.2880 0.5000
Cd2 Cd 0.1305 0.7412 0.0000
Cd3 Cd 0.3823 0.1964 0.0000
Cd4 Cd 0.5561 0.4243 0.5000
Au1 Au 0.0394 0.4544 0.0000
Au2 Au 0.2585 0.2385 0.5000
Au3 Au 0.6667 0.3333 0.0000
```

[5]
A relaxed CsCd2Au4 crystal. Source: the Alexandria database, functional GGA-PBE.

Computed properties:
The total moment is 0.000 μB per formula unit.

CIF file:
```
data_CsCd2Au4
_cell_length_a 9.046
_cell_length_b 9.046
_cell_length_c 8.523
_cell_angle_alpha 90.00
_cell_angle_beta 90.00
_cell_angle_gamma 90.00
_space_group_name_H-M_alt 'I 4/m c m'
_space_group_IT_number 140
_space_group_name_Hall '-I 4 2c'
loop_
_atom_site_label
_atom_site_type_symbol
_atom_site_fract_x
_atom_site_fract_y
_atom_site_fract_z
Cs1 Cs 0.000 0.000 0.250
Cd1 Cd 0.144 0.356 0.000
Au1 Au 0.150 0.350 0.336
```

[6]
A relaxed Cs5CdAu2 crystal. Source: the Alexandria database, functional GGA-PBE.

Computed properties:
The total moment is 0.000 μB per formula unit.

CIF file:
```
data_Cs5CdAu2
_cell_length_a 9.666
_cell_length_b 9.666
_cell_length_c 18.581
_cell_angle_alpha 90.00
_cell_angle_beta 90.00
_cell_angle_gamma 90.00
_space_group_name_H-M_alt 'I 4/m c m'
_space_group_IT_number 140
_space_group_name_Hall '-I 4 2c'
loop_
_atom_site_label
_atom_site_type_symbol
_atom_site_fract_x
_atom_site_fract_y
_atom_site_fract_z
Cs1 Cs 0.000 0.000 0.000
Cs2 Cs 0.171 0.329 0.134
Cd1 Cd 0.000 0.000 0.250
Au1 Au 0.111 0.389 0.500
```

[7]
A relaxed CsCd2Au crystal. Source: the Alexandria database, functional GGA-PBE.

Computed properties:
The total moment is 0.000 μB per formula unit.

CIF file:
```
data_CsCd2Au
_cell_length_a 6.062
_cell_length_b 6.062
_cell_length_c 18.330
_cell_angle_alpha 90.00
_cell_angle_beta 90.00
_cell_angle_gamma 90.00
_space_group_name_H-M_alt 'I -4 2 d'
_space_group_IT_number 122
_space_group_name_Hall 'I -4 2bw'
loop_
_atom_site_label
_atom_site_type_symbol
_atom_site_fract_x
_atom_site_fract_y
_atom_site_fract_z
Cs1 Cs 0.000 0.000 0.000
Cd1 Cd 0.003 0.250 0.625
Au1 Au 0.000 0.000 0.500
```

[8]
A relaxed Cs8Cd2Au3 crystal. Source: the Alexandria database, functional GGA-PBE.

Computed properties:
The total moment is 0.004 μB per formula unit.

CIF file:
```
data_Cs8Cd2Au3
_cell_length_a 19.874
_cell_length_b 10.321
_cell_length_c 9.045
_cell_angle_alpha 90.00
_cell_angle_beta 109.54
_cell_angle_gamma 90.00
_space_group_name_H-M_alt 'C 1 2/m 1'
_space_group_IT_number 12
_space_group_name_Hall '-C 2y'
loop_
_atom_site_label
_atom_site_type_symbol
_atom_site_fract_x
_atom_site_fract_y
_atom_site_fract_z
Cs1 Cs 0.103 0.000 0.408
Cs2 Cs 0.109 0.244 0.913
Cs3 Cs 0.127 0.500 0.463
Cd1 Cd 0.249 0.000 0.835
Au1 Au 0.000 0.000 0.000
Au2 Au 0.000 0.258 0.500
```

[9]
A relaxed CsCd4Au2 crystal. Source: the Alexandria database, functional GGA-PBE.

Computed properties:
The total moment is 0.000 μB per formula unit.

CIF file:
```
data_CsCd4Au2
_cell_length_a 8.874
_cell_length_b 8.874
_cell_length_c 4.603
_cell_angle_alpha 90.00
_cell_angle_beta 90.00
_cell_angle_gamma 90.00
_space_group_name_H-M_alt 'P 42/m n m'
_space_group_IT_number 136
_space_group_name_Hall '-P 4n 2n'
loop_
_atom_site_label
_atom_site_type_symbol
_atom_site_fract_x
_atom_site_fract_y
_atom_site_fract_z
Cs1 Cs 0.000 0.000 0.000
Cd1 Cd 0.088 0.345 0.500
Au1 Au 0.226 0.774 0.500
```

[10]
A relaxed CsCdAu3 crystal. Source: the Alexandria database, functional GGA-PBE.

Computed properties:
The total moment is 0.000 μB per formula unit.

CIF file:
```
data_CsCdAu3
_cell_length_a 5.422
_cell_length_b 5.422
_cell_length_c 5.422
_cell_angle_alpha 90.00
_cell_angle_beta 90.00
_cell_angle_gamma 90.00
_space_group_name_H-M_alt 'P m -3 m'
_space_group_IT_number 221
_space_group_name_Hall '-P 4 2 3'
loop_
_atom_site_label
_atom_site_type_symbol
_atom_site_fract_x
_atom_site_fract_y
_atom_site_fract_z
Cs1 Cs 0.000 0.000 0.000
Cd1 Cd 0.500 0.500 0.500
Au1 Au 0.000 0.500 0.500
```

[11]
A relaxed Cs3CdAu crystal. Source: the Alexandria database, functional GGA-PBE.

Computed properties:
The total moment is 0.000 μB per formula unit.

CIF file:
```
data_Cs3CdAu
_cell_length_a 9.896
_cell_length_b 11.606
_cell_length_c 10.246
_cell_angle_alpha 90.00
_cell_angle_beta 94.97
_cell_angle_gamma 90.00
_space_group_name_H-M_alt 'C 1 2/m 1'
_space_group_IT_number 12
_space_group_name_Hall '-C 2y'
loop_
_atom_site_label
_atom_site_type_symbol
_atom_site_fract_x
_atom_site_fract_y
_atom_site_fract_z
Cs1 Cs 0.101 0.194 0.325
Cs2 Cs 0.221 0.500 0.060
Cd1 Cd 0.064 0.500 0.648
Au1 Au 0.228 0.500 0.420
```

[12]
A relaxed Cs2Cd2Au crystal. Source: the Alexandria database, functional GGA-PBE.

Computed properties:
The total moment is 0.000 μB per formula unit.

CIF file:
```
data_Cs2Cd2Au
_cell_length_a 4.302
_cell_length_b 4.302
_cell_length_c 22.481
_cell_angle_alpha 90.00
_cell_angle_beta 90.00
_cell_angle_gamma 90.00
_space_group_name_H-M_alt 'I 4/m m m'
_space_group_IT_number 139
_space_group_name_Hall '-I 4 2'
loop_
_atom_site_label
_atom_site_type_symbol
_atom_site_fract_x
_atom_site_fract_y
_atom_site_fract_z
Cs1 Cs 0.000 0.000 0.095
Cd1 Cd 0.000 0.500 0.250
Au1 Au 0.000 0.000 0.500
```

[13]
A relaxed Cs3Cd8Au3 crystal. Source: the Alexandria database, functional GGA-PBE.

Computed properties:
The total moment is 0.000 μB per formula unit.

CIF file:
```
data_Cs3Cd8Au3
_cell_length_a 5.037
_cell_length_b 12.831
_cell_length_c 14.233
_cell_angle_alpha 90.00
_cell_angle_beta 90.00
_cell_angle_gamma 90.00
_space_group_name_H-M_alt 'I m m m'
_space_group_IT_number 71
_space_group_name_Hall '-I 2 2'
loop_
_atom_site_label
_atom_site_type_symbol
_atom_site_fract_x
_atom_site_fract_y
_atom_site_fract_z
Cs1 Cs 0.000 0.000 0.000
Cs2 Cs 0.000 0.000 0.320
Cd1 Cd 0.000 0.293 0.100
Cd2 Cd 0.000 0.296 0.305
Au1 Au 0.000 0.258 0.500
Au2 Au 0.000 0.500 0.000
```

[14]
A relaxed CsCdAu crystal. Source: the Alexandria database, functional GGA-PBE.

Computed properties:
The total moment is 0.000 μB per formula unit.

CIF file:
```
data_CsCdAu
_cell_length_a 7.745
_cell_length_b 7.745
_cell_length_c 7.745
_cell_angle_alpha 90.00
_cell_angle_beta 90.00
_cell_angle_gamma 90.00
_space_group_name_H-M_alt 'P 21 3'
_space_group_IT_number 198
_space_group_name_Hall 'P 2ac 2ab 3'
loop_
_atom_site_label
_atom_site_type_symbol
_atom_site_fract_x
_atom_site_fract_y
_atom_site_fract_z
Cs1 Cs 0.154 0.154 0.154
Cd1 Cd 0.156 0.344 0.656
Au1 Au 0.080 0.580 0.920
```

[15]
A relaxed CsCd2Au4 crystal. Source: the Alexandria database, functional GGA-PBE.

Computed properties:
The total moment is 0.000 μB per formula unit.

CIF file:
```
data_CsCd2Au4
_cell_length_a 7.479
_cell_length_b 7.479
_cell_length_c 5.857
_cell_angle_alpha 90.00
_cell_angle_beta 90.00
_cell_angle_gamma 90.00
_space_group_name_H-M_alt 'I 4/m m m'
_space_group_IT_number 139
_space_group_name_Hall '-I 4 2'
loop_
_atom_site_label
_atom_site_type_symbol
_atom_site_fract_x
_atom_site_fract_y
_atom_site_fract_z
Cs1 Cs 0.000 0.000 0.000
Cd1 Cd 0.000 0.500 0.250
Au1 Au 0.191 0.191 0.500
```

[16]
A relaxed CsCd11Au crystal. Source: the Alexandria database, functional GGA-PBE.

Computed properties:
The total moment is 0.000 μB per formula unit.

CIF file:
```
data_CsCd11Au
_cell_length_a 5.948
_cell_length_b 14.768
_cell_length_c 7.920
_cell_angle_alpha 90.00
_cell_angle_beta 111.22
_cell_angle_gamma 90.00
_space_group_name_H-M_alt 'C 1 2/m 1'
_space_group_IT_number 12
_space_group_name_Hall '-C 2y'
loop_
_atom_site_label
_atom_site_type_symbol
_atom_site_fract_x
_atom_site_fract_y
_atom_site_fract_z
Cs1 Cs 0.000 0.000 0.000
Cd1 Cd 0.000 0.500 0.500
Cd2 Cd 0.118 0.388 0.229
Cd3 Cd 0.167 0.176 0.360
Cd4 Cd 0.250 0.250 0.000
Au1 Au 0.000 0.000 0.500
```

[17]
A relaxed CsCdAu3 crystal. Source: the Alexandria database, functional GGA-PBE.

Computed properties:
The total moment is 0.000 μB per formula unit.

CIF file:
```
data_CsCdAu3
_cell_length_a 5.736
_cell_length_b 10.613
_cell_length_c 9.556
_cell_angle_alpha 90.00
_cell_angle_beta 90.00
_cell_angle_gamma 90.00
_space_group_name_H-M_alt 'I m m a'
_space_group_IT_number 74
_space_group_name_Hall '-I 2b 2'
loop_
_atom_site_label
_atom_site_type_symbol
_atom_site_fract_x
_atom_site_fract_y
_atom_site_fract_z
Cs1 Cs 0.000 0.250 0.098
Cd1 Cd 0.000 0.000 0.500
Au1 Au 0.000 0.250 0.614
Au2 Au 0.250 0.055 0.750
```

[18]
A relaxed CsCdAu crystal. Source: the Alexandria database, functional GGA-PBE.

Computed properties:
The total moment is 0.000 μB per formula unit.

CIF file:
```
data_CsCdAu
_cell_length_a 7.981
_cell_length_b 7.981
_cell_length_c 7.981
_cell_angle_alpha 90.00
_cell_angle_beta 90.00
_cell_angle_gamma 90.00
_space_group_name_H-M_alt 'F -4 3 m'
_space_group_IT_number 216
_space_group_name_Hall 'F -4 2 3'
loop_
_atom_site_label
_atom_site_type_symbol
_atom_site_fract_x
_atom_site_fract_y
_atom_site_fract_z
Cs1 Cs 0.000 0.000 0.000
Cd1 Cd 0.000 0.000 0.500
Au1 Au 0.250 0.250 0.250
```

[19]
A relaxed Cs2Cd3Au2 crystal. Source: the Alexandria database, functional GGA-PBE.

Computed properties:
The total moment is 0.000 μB per formula unit.

CIF file:
```
data_Cs2Cd3Au2
_cell_length_a 13.393
_cell_length_b 4.812
_cell_length_c 8.716
_cell_angle_alpha 90.00
_cell_angle_beta 123.61
_cell_angle_gamma 90.00
_space_group_name_H-M_alt 'C 1 2/m 1'
_space_group_IT_number 12
_space_group_name_Hall '-C 2y'
loop_
_atom_site_label
_atom_site_type_symbol
_atom_site_fract_x
_atom_site_fract_y
_atom_site_fract_z
Cs1 Cs 0.138 0.000 0.268
Cd1 Cd 0.000 0.500 0.500
Cd2 Cd 0.164 0.500 0.922
Au1 Au 0.118 0.000 0.701
```

[20]
A relaxed Cs2Cd5Au4 crystal. Source: the Alexandria database, functional GGA-PBE.

Computed properties:
The total moment is 0.000 μB per formula unit.

CIF file:
```
data_Cs2Cd5Au4
_cell_length_a 6.775
_cell_length_b 13.000
_cell_length_c 15.339
_cell_angle_alpha 90.00
_cell_angle_beta 90.00
_cell_angle_gamma 90.00
_space_group_name_H-M_alt 'F m m m'
_space_group_IT_number 69
_space_group_name_Hall '-F 2 2'
loop_
_atom_site_label
_atom_site_type_symbol
_atom_site_fract_x
_atom_site_fract_y
_atom_site_fract_z
Cs1 Cs 0.000 0.000 0.153
Cd1 Cd 0.000 0.000 0.500
Cd2 Cd 0.250 0.250 0.000
Cd3 Cd 0.250 0.250 0.250
Au1 Au 0.000 0.155 0.373
```

[21]
A relaxed CsCd2Au crystal. Source: the Alexandria database, functional GGA-PBE.

Computed properties:
The total moment is 0.000 μB per formula unit.

CIF file:
```
data_CsCd2Au
_cell_length_a 8.047
_cell_length_b 8.047
_cell_length_c 8.047
_cell_angle_alpha 90.00
_cell_angle_beta 90.00
_cell_angle_gamma 90.00
_space_group_name_H-M_alt 'F m -3 m'
_space_group_IT_number 225
_space_group_name_Hall '-F 4 2 3'
loop_
_atom_site_label
_atom_site_type_symbol
_atom_site_fract_x
_atom_site_fract_y
_atom_site_fract_z
Cs1 Cs 0.000 0.000 0.000
Cd1 Cd 0.250 0.250 0.250
Au1 Au 0.000 0.000 0.500
```

no.,volume (Å³/atom),energy relative to the elements (eV/atom)
1,24.32,-0.162
2,30.06,-0.180
3,23.60,-0.011
4,24.67,-0.176
5,24.91,-0.210
6,54.25,-0.182
7,42.09,-0.094
8,67.25,-0.123
9,25.89,-0.189
10,31.88,0.005
11,58.61,-0.159
12,41.60,-0.131
13,32.85,-0.143
14,38.72,-0.236
15,23.40,-0.097
16,24.94,-0.036
17,29.09,-0.194
18,42.36,-0.090
19,33.42,-0.216
20,30.70,-0.206
21,32.56,0.096